# 1
DFT (PBE) results for an optimized crystal structure of CsTl.

a = 14.5520 Å, b = 14.5520 Å, c = 4.1178 Å
α = 90.00°, β = 90.00°, γ = 90.00°
Atoms (fractional coordinates):
Cs  0.1373  0.6646  0.0000
Cs  0.1646  0.3627  0.5000
Cs  0.3354  0.1373  0.0000
Cs  0.3627  0.8354  0.5000
Cs  0.6373  0.1646  0.5000
Cs  0.6646  0.8627  0.0000
Cs  0.8354  0.6373  0.5000
Cs  0.8627  0.3354  0.0000
Tl  0.0568  0.1389  0.0000
Tl  0.1389  0.9432  0.0000
Tl  0.3611  0.5568  0.5000
Tl  0.4432  0.3611  0.5000
Tl  0.5568  0.6389  0.5000
Tl  0.6389  0.4432  0.5000
Tl  0.8611  0.0568  0.0000
Tl  0.9432  0.8611  0.0000

Properties
VASP energy = -1.5305 eV/atom
ΔH_f (0 K) = 79 meV/atom
Offset from the most stable computed form = 154.0 meV/atom
Space-group type = I4/m
N(E_F) = 12.65 states/eV per cell



# 2
DFT (PBE) results for an optimized crystal structure of CsTl.

a = 6.6621 Å, b = 6.6621 Å, c = 7.9827 Å
α = 90.00°, β = 90.00°, γ = 120.00°
Atoms (fractional coordinates):
Cs  0.3333  0.6667  0.2500
Cs  0.6667  0.3333  0.7500
Tl  0.3333  0.6667  0.7500
Tl  0.6667  0.3333  0.2500

Properties
VASP energy = -1.2314 eV/atom
ΔH_f (0 K) = 379 meV/atom
Offset from the most stable computed form = 453.2 meV/atom
Space-group type = P6_3/mmc
N(E_F) = 3.95 states/eV per cell



# 3
DFT (PBE) results for an optimized crystal structure of CsTl.

a = 4.6284 Å, b = 12.6940 Å, c = 11.4595 Å
α = 90.00°, β = 90.00°, γ = 90.00°
Atoms (fractional coordinates):
Cs  0.0000  0.0000  0.0000
Cs  0.0000  0.1638  0.4149
Cs  0.0000  0.3362  0.9149
Cs  0.0000  0.5000  0.5000
Cs  0.0000  0.6638  0.9149
Cs  0.0000  0.8362  0.4149
Tl  0.5000  0.0000  0.6932
Tl  0.5000  0.2349  0.6724
Tl  0.5000  0.2651  0.1724
Tl  0.5000  0.5000  0.1932
Tl  0.5000  0.7349  0.1724
Tl  0.5000  0.7651  0.6724

Properties
VASP energy = -1.5625 eV/atom
ΔH_f (0 K) = 47 meV/atom
Offset from the most stable computed form = 122.1 meV/atom
Space-group type = Amm2
N(E_F) = 9.62 states/eV per cell



# 4
DFT (PBE) results for an optimized crystal structure of CsTl.

a = 13.0777 Å, b = 13.0777 Å, c = 4.7340 Å
α = 90.00°, β = 90.00°, γ = 90.00°
Atoms (fractional coordinates):
Cs  0.1396  0.1773  0.0000
Cs  0.1773  0.8604  0.0000
Cs  0.3227  0.6396  0.5000
Cs  0.3604  0.3227  0.5000
Cs  0.6396  0.6773  0.5000
Cs  0.6773  0.3604  0.5000
Cs  0.8227  0.1396  0.0000
Cs  0.8604  0.8227  0.0000
Tl  0.0163  0.6287  0.5000
Tl  0.1287  0.4837  0.0000
Tl  0.3713  0.0163  0.5000
Tl  0.4837  0.8713  0.0000
Tl  0.5163  0.1287  0.0000
Tl  0.6287  0.9837  0.5000
Tl  0.8713  0.5163  0.0000
Tl  0.9837  0.3713  0.5000

Properties
VASP energy = -1.6642 eV/atom
ΔH_f (0 K) = -54 meV/atom
Offset from the most stable computed form = 20.4 meV/atom
Space-group type = I4/m
N(E_F) = 9.62 states/eV per cell



# 5
DFT (PBE) results for an optimized crystal structure of Cs4Tl.

a = 11.9143 Å, b = 11.9143 Å, c = 11.9143 Å
α = 129.64°, β = 67.76°, γ = 137.78°
Atoms (fractional coordinates):
Cs  0.0749  0.6906  0.7655
Cs  0.1655  0.1410  0.3065
Cs  0.3345  0.6410  0.9754
Cs  0.4251  0.1906  0.6157
Cs  0.5749  0.8094  0.3843
Cs  0.6655  0.3590  0.0246
Cs  0.8345  0.8590  0.6935
Cs  0.9251  0.3094  0.2345
Tl  0.2500  0.2500  0.0000
Tl  0.7500  0.7500  0.0000

Properties
VASP energy = -1.1615 eV/atom
ΔH_f (0 K) = -5 meV/atom
Space-group type = Ibam
N(E_F) = 8.95 states/eV per cell



# 6
DFT (PBE) results for an optimized crystal structure of CsTl7.

a = 14.0069 Å, b = 10.4233 Å, c = 3.9685 Å
α = 90.00°, β = 105.90°, γ = 90.00°
Atoms (fractional coordinates):
Cs  0.0000  0.0000  0.0000
Cs  0.5000  0.5000  0.0000
Tl  0.0000  0.5000  0.0000
Tl  0.1396  0.2896  0.6427
Tl  0.1396  0.7104  0.6427
Tl  0.2486  0.0000  0.7467
Tl  0.2514  0.5000  0.2533
Tl  0.3604  0.2104  0.3573
Tl  0.3604  0.7896  0.3573
Tl  0.5000  0.0000  0.0000
Tl  0.6396  0.2104  0.6427
Tl  0.6396  0.7896  0.6427
Tl  0.7486  0.5000  0.7467
Tl  0.7514  0.0000  0.2533
Tl  0.8604  0.2896  0.3573
Tl  0.8604  0.7104  0.3573

Properties
VASP energy = -2.2033 eV/atom
ΔH_f (0 K) = -26 meV/atom
Space-group type = C2/m
N(E_F) = 7.42 states/eV per cell



N(E_F) of number 1 (CsTl)?
12.65 states/eV per cell



Which formula does entry 1 have?
CsTl



Please write out number 2 again, unchanged.
DFT (PBE) results for an optimized crystal structure of CsTl.

a = 6.6621 Å, b = 6.6621 Å, c = 7.9827 Å
α = 90.00°, β = 90.00°, γ = 120.00°
Atoms (fractional coordinates):
Cs  0.3333  0.6667  0.2500
Cs  0.6667  0.3333  0.7500
Tl  0.3333  0.6667  0.7500
Tl  0.6667  0.3333  0.2500

Properties
VASP energy = -1.2314 eV/atom
ΔH_f (0 K) = 379 meV/atom
Offset from the most stable computed form = 453.2 meV/atom
Space-group type = P6_3/mmc
N(E_F) = 3.95 states/eV per cell



What is the N(E_F) in the second record?
3.95 states/eV per cell